The following is a DFT calculation (GGA-PBE) of a relaxed structure of Y2MgGa2Ir5.

Cell lengths 9.817, 9.817, 3.597 Å; angles 90.00, 90.00, 90.00 degrees
Fractional coordinates of all 20 atoms:
Y (0.174, 0.326, 0.000)
Y (0.326, 0.826, 0.000)
Y (0.674, 0.174, 0.000)
Y (0.826, 0.674, 0.000)
Mg (0.000, 0.000, 0.000)
Mg (0.500, 0.500, 0.000)
Ga (0.125, 0.625, 0.000)
Ga (0.375, 0.125, 0.000)
Ga (0.625, 0.875, 0.000)
Ga (0.875, 0.375, 0.000)
Ir (0.000, 0.500, 0.500)
Ir (0.065, 0.794, 0.500)
Ir (0.206, 0.065, 0.500)
Ir (0.294, 0.565, 0.500)
Ir (0.435, 0.294, 0.500)
Ir (0.500, 0.000, 0.500)
Ir (0.565, 0.706, 0.500)
Ir (0.706, 0.435, 0.500)
Ir (0.794, 0.935, 0.500)
Ir (0.935, 0.206, 0.500)

**Energy relative to the elements**: -575 meV/atom
**Total energy**: -7.06 eV/atom
**SG**: P4/mbm

The following is a DFT calculation (GGA-PBE) of a relaxed structure of Mg3Zn2GaIr3.

Cell lengths 7.371, 7.371, 2.911 Å; angles 90.00, 90.00, 120.00 degrees
Fractional coordinates of all 9 atoms:
Mg (0.000, 0.687, 0.000)
Mg (0.313, 0.313, 0.000)
Mg (0.687, 0.000, 0.000)
Zn (0.333, 0.667, 0.000)
Zn (0.667, 0.333, 0.000)
Ga (0.000, 0.000, 0.500)
Ir (0.000, 0.349, 0.500)
Ir (0.349, 0.000, 0.500)
Ir (0.651, 0.651, 0.500)

**Energy relative to the elements**: -302 meV/atom
**Total energy**: -4.41 eV/atom
**SG**: P-62m

The following is a DFT calculation (GGA-PBE) of a relaxed structure of Mg3ZnGa2Ir3.

Cell lengths 7.370, 7.370, 2.901 Å; angles 90.00, 90.00, 120.00 degrees
Fractional coordinates of all 9 atoms:
Mg (0.000, 0.704, 0.000)
Mg (0.296, 0.296, 0.000)
Mg (0.704, 0.000, 0.000)
Zn (0.000, 0.000, 0.500)
Ga (0.333, 0.667, 0.000)
Ga (0.667, 0.333, 0.000)
Ir (0.000, 0.369, 0.500)
Ir (0.369, 0.000, 0.500)
Ir (0.631, 0.631, 0.500)

**Energy relative to the elements**: -355 meV/atom
**Total energy**: -4.65 eV/atom
**SG**: P-62m

The following is a DFT calculation (GGA-PBE) of a relaxed structure of Mg2ZnGaIr.

Cell lengths 3.051, 4.484, 12.957 Å; angles 90.00, 90.00, 90.00 degrees
Fractional coordinates of all 10 atoms:
Mg (0.000, 0.000, 0.000)
Mg (0.000, 0.000, 0.348)
Mg (0.500, 0.500, 0.500)
Mg (0.500, 0.500, 0.848)
Zn (0.000, 0.000, 0.566)
Zn (0.500, 0.500, 0.066)
Ga (0.000, 0.000, 0.766)
Ga (0.500, 0.500, 0.266)
Ir (0.000, 0.500, 0.675)
Ir (0.500, 0.000, 0.175)

**Energy relative to the elements**: -205 meV/atom
**Total energy**: -3.48 eV/atom
**SG**: Imm2

The following is a DFT calculation (GGA-PBE) of a relaxed structure of Mn3GaIr4.

Cell lengths 3.601, 3.920, 7.825 Å; angles 90.00, 90.00, 90.00 degrees
Fractional coordinates of all 8 atoms:
Mn (0.000, 0.000, 0.000)
Mn (0.000, 0.500, 0.242)
Mn (0.000, 0.500, 0.758)
Ga (0.000, 0.000, 0.500)
Ir (0.500, 0.000, 0.244)
Ir (0.500, 0.000, 0.756)
Ir (0.500, 0.500, 0.000)
Ir (0.500, 0.500, 0.500)

**Energy relative to the elements**: -315 meV/atom
**Total energy**: -8.56 eV/atom
**SG**: Pmmm

The following is a DFT calculation (GGA-PBE) of a relaxed structure of Mn12Ga6Ir.

Cell lengths 6.611, 6.611, 6.611 Å; angles 72.56, 72.56, 72.56 degrees
Fractional coordinates of all 19 atoms:
Mn (0.155, 0.155, 0.532)
Mn (0.155, 0.532, 0.155)
Mn (0.199, 0.510, 0.510)
Mn (0.468, 0.845, 0.845)
Mn (0.490, 0.490, 0.801)
Mn (0.490, 0.801, 0.490)
Mn (0.510, 0.199, 0.510)
Mn (0.510, 0.510, 0.199)
Mn (0.532, 0.155, 0.155)
Mn (0.801, 0.490, 0.490)
Mn (0.845, 0.468, 0.845)
Mn (0.845, 0.845, 0.468)
Ga (0.114, 0.749, 0.749)
Ga (0.251, 0.251, 0.886)
Ga (0.251, 0.886, 0.251)
Ga (0.749, 0.114, 0.749)
Ga (0.749, 0.749, 0.114)
Ga (0.886, 0.251, 0.251)
Ir (0.000, 0.000, 0.000)

**Energy relative to the elements**: 45 meV/atom
**Total energy**: -7.17 eV/atom
**SG**: R-3m

The following is a DFT calculation (GGA-PBE) of a relaxed structure of MnGa2Ir3.

Cell lengths 6.838, 6.838, 6.079 Å; angles 90.00, 90.00, 143.12 degrees
Fractional coordinates of all 12 atoms:
Mn (0.168, 0.832, 0.000)
Mn (0.832, 0.168, 0.000)
Ga (0.167, 0.833, 0.500)
Ga (0.500, 0.500, 0.000)
Ga (0.500, 0.500, 0.500)
Ga (0.833, 0.167, 0.500)
Ir (0.000, 0.000, 0.252)
Ir (0.000, 0.000, 0.748)
Ir (0.335, 0.665, 0.253)
Ir (0.335, 0.665, 0.747)
Ir (0.665, 0.335, 0.253)
Ir (0.665, 0.335, 0.747)

**Energy relative to the elements**: -355 meV/atom
**Total energy**: -7.32 eV/atom
**SG**: Cmmm

The following is a DFT calculation (GGA-PBE) of a relaxed structure of Mn3GaIr.

Cell lengths 5.147, 5.147, 5.147 Å; angles 90.00, 90.00, 90.00 degrees
Fractional coordinates of all 5 atoms:
Mn (0.000, 0.000, 0.500)
Mn (0.000, 0.500, 0.000)
Mn (0.500, 0.000, 0.000)
Ga (0.500, 0.500, 0.500)
Ir (0.000, 0.000, 0.000)

**Energy relative to the elements**: 986 meV/atom
**Total energy**: -6.89 eV/atom
**SG**: Pm-3m

The following is a DFT calculation (GGA-PBE) of a relaxed structure of MnGa3Ir4.

Cell lengths 3.053, 4.323, 8.629 Å; angles 90.00, 90.00, 90.00 degrees
Fractional coordinates of all 8 atoms:
Mn (0.000, 0.000, 0.000)
Ga (0.000, 0.000, 0.500)
Ga (0.000, 0.500, 0.244)
Ga (0.000, 0.500, 0.756)
Ir (0.500, 0.000, 0.255)
Ir (0.500, 0.000, 0.745)
Ir (0.500, 0.500, 0.000)
Ir (0.500, 0.500, 0.500)

**Energy relative to the elements**: -367 meV/atom
**Total energy**: -7.08 eV/atom
**SG**: Pmmm

The following is a DFT calculation (GGA-PBE) of a relaxed structure of MnGaIr2.

Cell lengths 4.285, 4.285, 3.074 Å; angles 90.00, 90.00, 90.00 degrees
Fractional coordinates of all 4 atoms:
Mn (0.000, 0.000, 0.000)
Ga (0.500, 0.500, 0.000)
Ir (0.000, 0.500, 0.500)
Ir (0.500, 0.000, 0.500)

**Energy relative to the elements**: -326 meV/atom
**Total energy**: -7.81 eV/atom
**SG**: P4/mmm

The following is a DFT calculation (GGA-PBE) of a relaxed structure of MnGaIr2.

Cell lengths 4.185, 4.185, 12.515 Å; angles 90.00, 90.00, 120.00 degrees
Fractional coordinates of all 12 atoms:
Mn (0.000, 0.000, 0.000)
Mn (0.333, 0.667, 0.667)
Mn (0.667, 0.333, 0.333)
Ga (0.000, 0.000, 0.796)
Ga (0.333, 0.667, 0.463)
Ga (0.667, 0.333, 0.130)
Ir (0.000, 0.000, 0.214)
Ir (0.000, 0.000, 0.418)
Ir (0.333, 0.667, 0.085)
Ir (0.333, 0.667, 0.881)
Ir (0.667, 0.333, 0.547)
Ir (0.667, 0.333, 0.751)

**Energy relative to the elements**: 25 meV/atom
**Total energy**: -7.45 eV/atom
**SG**: R3m

The following is a DFT calculation (GGA-PBE) of a relaxed structure of Mn2GaIr2.

Cell lengths 7.203, 7.203, 2.698 Å; angles 90.00, 90.00, 90.00 degrees
Fractional coordinates of all 10 atoms:
Mn (0.117, 0.383, 0.000)
Mn (0.383, 0.883, 0.000)
Mn (0.617, 0.117, 0.000)
Mn (0.883, 0.617, 0.000)
Ga (0.000, 0.000, 0.000)
Ga (0.500, 0.500, 0.000)
Ir (0.173, 0.673, 0.500)
Ir (0.327, 0.173, 0.500)
Ir (0.673, 0.827, 0.500)
Ir (0.827, 0.327, 0.500)

**Energy relative to the elements**: 95 meV/atom
**Total energy**: -7.72 eV/atom
**SG**: P4/mbm

The following is a DFT calculation (GGA-PBE) of a relaxed structure of MnGa6Ir.

Cell lengths 5.424, 5.424, 5.424 Å; angles 103.82, 103.82, 103.82 degrees
Fractional coordinates of all 8 atoms:
Mn (0.000, 0.000, 0.000)
Ga (0.208, 0.208, 0.668)
Ga (0.208, 0.668, 0.208)
Ga (0.332, 0.792, 0.792)
Ga (0.668, 0.208, 0.208)
Ga (0.792, 0.332, 0.792)
Ga (0.792, 0.792, 0.332)
Ir (0.500, 0.500, 0.500)

**Energy relative to the elements**: -96 meV/atom
**Total energy**: -4.62 eV/atom
**SG**: R-3m

The following is a DFT calculation (GGA-PBE) of a relaxed structure of Mn2GaIr2.

Cell lengths 3.255, 3.255, 13.411 Å; angles 90.00, 90.00, 90.00 degrees
Fractional coordinates of all 10 atoms:
Mn (0.000, 0.500, 0.250)
Mn (0.000, 0.500, 0.750)
Mn (0.500, 0.000, 0.250)
Mn (0.500, 0.000, 0.750)
Ga (0.000, 0.000, 0.000)
Ga (0.500, 0.500, 0.500)
Ir (0.000, 0.000, 0.397)
Ir (0.000, 0.000, 0.603)
Ir (0.500, 0.500, 0.103)
Ir (0.500, 0.500, 0.897)

**Energy relative to the elements**: 106 meV/atom
**Total energy**: -7.71 eV/atom
**SG**: I4/mmm

The following is a DFT calculation (GGA-PBE) of a relaxed structure of MnGa4Ir5.

Cell lengths 3.060, 3.060, 15.264 Å; angles 90.00, 90.00, 90.00 degrees
Fractional coordinates of all 10 atoms:
Mn (0.000, 0.000, 0.000)
Ga (0.000, 0.000, 0.197)
Ga (0.000, 0.000, 0.399)
Ga (0.000, 0.000, 0.601)
Ga (0.000, 0.000, 0.803)
Ir (0.500, 0.500, 0.102)
Ir (0.500, 0.500, 0.301)
Ir (0.500, 0.500, 0.500)
Ir (0.500, 0.500, 0.699)
Ir (0.500, 0.500, 0.898)

**Energy relative to the elements**: -362 meV/atom
**Total energy**: -6.92 eV/atom
**SG**: P4/mmm

The following is a DFT calculation (GGA-PBE) of a relaxed structure of MnGa8Ir2.

Cell lengths 6.913, 6.913, 4.634 Å; angles 107.62, 107.62, 77.52 degrees
Fractional coordinates of all 11 atoms:
Mn (0.000, 0.000, 0.000)
Ga (0.088, 0.647, 0.984)
Ga (0.127, 0.127, 0.538)
Ga (0.353, 0.912, 0.016)
Ga (0.424, 0.424, 0.663)
Ga (0.576, 0.576, 0.337)
Ga (0.647, 0.088, 0.984)
Ga (0.873, 0.873, 0.462)
Ga (0.912, 0.353, 0.016)
Ir (0.315, 0.315, 0.057)
Ir (0.685, 0.685, 0.943)

**Energy relative to the elements**: -253 meV/atom
**Total energy**: -4.90 eV/atom
**SG**: C2/m

The following is a DFT calculation (GGA-PBE) of a relaxed structure of MnGaIr2.

Cell lengths 5.465, 5.465, 10.750 Å; angles 90.00, 90.00, 90.00 degrees
Fractional coordinates of all 16 atoms:
Mn (0.000, 0.000, 0.000)
Mn (0.000, 0.500, 0.250)
Mn (0.500, 0.000, 0.750)
Mn (0.500, 0.500, 0.500)
Ga (0.000, 0.000, 0.500)
Ga (0.000, 0.500, 0.750)
Ga (0.500, 0.000, 0.250)
Ga (0.500, 0.500, 0.000)
Ir (0.220, 0.250, 0.125)
Ir (0.250, 0.720, 0.375)
Ir (0.250, 0.780, 0.875)
Ir (0.280, 0.250, 0.625)
Ir (0.720, 0.750, 0.625)
Ir (0.750, 0.220, 0.875)
Ir (0.750, 0.280, 0.375)
Ir (0.780, 0.750, 0.125)

**Energy relative to the elements**: 700 meV/atom
**Total energy**: -6.78 eV/atom
**SG**: I-42d

The following is a DFT calculation (GGA-PBE) of a relaxed structure of Mn2GaIr2.

Cell lengths 7.206, 7.206, 2.855 Å; angles 90.00, 90.00, 90.00 degrees
Fractional coordinates of all 10 atoms:
Mn (0.163, 0.337, 0.000)
Mn (0.337, 0.837, 0.000)
Mn (0.663, 0.163, 0.000)
Mn (0.837, 0.663, 0.000)
Ga (0.000, 0.000, 0.500)
Ga (0.500, 0.500, 0.500)
Ir (0.134, 0.634, 0.500)
Ir (0.366, 0.134, 0.500)
Ir (0.634, 0.866, 0.500)
Ir (0.866, 0.366, 0.500)

**Energy relative to the elements**: -16 meV/atom
**Total energy**: -7.83 eV/atom
**SG**: P4/mbm

The following is a DFT calculation (GGA-PBE) of a relaxed structure of MnGaIr3.

Cell lengths 4.501, 4.501, 4.501 Å; angles 90.00, 90.00, 90.00 degrees
Fractional coordinates of all 5 atoms:
Mn (0.000, 0.000, 0.000)
Ga (0.500, 0.500, 0.500)
Ir (0.000, 0.500, 0.500)
Ir (0.500, 0.000, 0.500)
Ir (0.500, 0.500, 0.000)

**Energy relative to the elements**: 1659 meV/atom
**Total energy**: -6.10 eV/atom
**Relative energy among the computed polymorphs**: 428.4 meV/atom
**SG**: Pm-3m

The following is a DFT calculation (GGA-PBE) of a relaxed structure of MnGa5Ir6.

Cell lengths 7.486, 7.486, 7.486 Å; angles 146.44, 131.94, 59.89 degrees
Fractional coordinates of all 12 atoms:
Mn (0.000, 0.000, 0.000)
Ga (0.161, 0.661, 0.500)
Ga (0.332, 0.332, 0.000)
Ga (0.500, 0.000, 0.500)
Ga (0.668, 0.668, 0.000)
Ga (0.839, 0.339, 0.500)
Ir (0.083, 0.831, 0.252)
Ir (0.256, 0.500, 0.756)
Ir (0.422, 0.169, 0.252)
Ir (0.578, 0.831, 0.748)
Ir (0.744, 0.500, 0.244)
Ir (0.917, 0.169, 0.748)

**Energy relative to the elements**: -386 meV/atom
**Total energy**: -6.84 eV/atom
**SG**: Immm